Version a
# Ta3TcO (PBE, optimized geometry)
data_Ta3TcO
_space_group_name_H-M_alt 'P m -3 m'
_space_group_IT_number 221
_space_group_name_Hall '-P 4 2 3'
_cell_length_a 4.2292
_cell_length_b 4.2292
_cell_length_c 4.2292
_cell_angle_alpha 90.00
_cell_angle_beta 90.00
_cell_angle_gamma 90.00
loop_
_atom_site_label
_atom_site_fract_x
_atom_site_fract_y
_atom_site_fract_z
Ta1 0.0000 0.0000 0.5000
Tc1 0.5000 0.5000 0.5000
O1 0.0000 0.0000 0.0000
# V ... 15.129 A^3/atom
# Total magnetic moment ... 0.000 μB/atom

=====

Version b
# Ta3TcO (PBE, optimized geometry)
data_Ta3TcO
_space_group_name_H-M_alt 'P m -3 m'
_space_group_IT_number 221
_space_group_name_Hall '-P 4 2 3'
_cell_length_a 4.7951
_cell_length_b 4.7951
_cell_length_c 4.7951
_cell_angle_alpha 90.00
_cell_angle_beta 90.00
_cell_angle_gamma 90.00
loop_
_atom_site_label
_atom_site_fract_x
_atom_site_fract_y
_atom_site_fract_z
Ta1 0.0000 0.0000 0.5000
Tc1 0.0000 0.0000 0.0000
O1 0.5000 0.5000 0.5000
# V ... 22.051 A^3/atom
# Total magnetic moment ... 0.324 μB/atom

=====

It is version b that is the least stable of them.

=====

Version a
# TaTeO6 (PBE, optimized geometry)
data_TaTeO6
_space_group_name_H-M_alt 'F m -3 m'
_space_group_IT_number 225
_space_group_name_Hall '-F 4 2 3'
_cell_length_a 7.7521
_cell_length_b 7.7521
_cell_length_c 7.7521
_cell_angle_alpha 90.00
_cell_angle_beta 90.00
_cell_angle_gamma 90.00
loop_
_atom_site_label
_atom_site_fract_x
_atom_site_fract_y
_atom_site_fract_z
Ta1 0.0000 0.0000 0.0000
Te1 0.0000 0.0000 0.5000
O1 0.0000 0.0000 0.2538
# V ... 14.558 A^3/atom
# Total magnetic moment ... 0.000 μB/atom

=====

Version b
# TaTeO6 (PBE, optimized geometry)
data_TaTeO6
_space_group_name_H-M_alt 'C 1 2/m 1'
_space_group_IT_number 12
_cell_length_a 4.9394
_cell_length_b 9.6170
_cell_length_c 4.9387
_cell_angle_alpha 90.00
_cell_angle_beta 103.66
_cell_angle_gamma 90.00
loop_
_space_group_symop_operation_xyz
'x,y,z'
'-x,-y,-z'
'-x,y,-z'
'x,-y,z'
'x+1/2,y+1/2,z'
'-x+1/2,-y+1/2,-z'
'-x+1/2,y+1/2,-z'
'x+1/2,-y+1/2,z'
loop_
_atom_site_label
_atom_site_fract_x
_atom_site_fract_y
_atom_site_fract_z
Ta1 0.0000 0.0000 0.0000
Te1 0.0000 0.5000 0.5000
O1 0.2390 0.3667 0.7418
O2 0.2500 0.0000 0.7471
# V ... 14.247 A^3/atom
# Total magnetic moment ... 0.109 μB/atom

=====

It is version b that is the least stable of them.

=====

Version a
# TaTi3O (PBE, optimized geometry)
data_TaTi3O
_space_group_name_H-M_alt 'P m -3 m'
_space_group_IT_number 221
_space_group_name_Hall '-P 4 2 3'
_cell_length_a 4.8134
_cell_length_b 4.8134
_cell_length_c 4.8134
_cell_angle_alpha 90.00
_cell_angle_beta 90.00
_cell_angle_gamma 90.00
loop_
_atom_site_label
_atom_site_fract_x
_atom_site_fract_y
_atom_site_fract_z
Ta1 0.0000 0.0000 0.0000
Ti1 0.0000 0.0000 0.5000
O1 0.5000 0.5000 0.5000
# V ... 22.304 A^3/atom
# Total magnetic moment ... 0.548 μB/atom

=====

Version b
# TaTi3O (PBE, optimized geometry)
data_TaTi3O
_space_group_name_H-M_alt 'P m -3 m'
_space_group_IT_number 221
_space_group_name_Hall '-P 4 2 3'
_cell_length_a 4.1771
_cell_length_b 4.1771
_cell_length_c 4.1771
_cell_angle_alpha 90.00
_cell_angle_beta 90.00
_cell_angle_gamma 90.00
loop_
_atom_site_label
_atom_site_fract_x
_atom_site_fract_y
_atom_site_fract_z
Ta1 0.0000 0.0000 0.0000
Ti1 0.0000 0.5000 0.5000
O1 0.5000 0.5000 0.5000
# V ... 14.576 A^3/atom
# Total magnetic moment ... 0.000 μB/atom

=====

Version c
# TaTi3O (PBE, optimized geometry)
data_TaTi3O
_space_group_name_H-M_alt 'P 1 21 1'
_space_group_IT_number 4
_cell_length_a 5.2934
_cell_length_b 4.7611
_cell_length_c 5.8841
_cell_angle_alpha 90.00
_cell_angle_beta 96.71
_cell_angle_gamma 90.00
loop_
_space_group_symop_operation_xyz
'x,y,z'
'-x,y+1/2,-z'
loop_
_atom_site_label
_atom_site_fract_x
_atom_site_fract_y
_atom_site_fract_z
Ta1 0.1481 0.0000 0.2042
Ti1 0.1537 0.0101 0.7067
Ti2 0.3529 0.5298 0.5109
Ti3 0.3555 0.4644 0.0117
O1 0.4991 0.7475 0.2508
# V ... 14.728 A^3/atom
# Total magnetic moment ... 0.000 μB/atom

=====

It is version a that is the least stable of them.